Record 1
The following is a PBE calculation of ScAuSe2 after structural relaxation, from the Alexandria database.

The structure belongs to space group R3m (No. 160, hexagonal axes); the cell edges are 4.1702, 4.1702 and 21.0318 Å and the angles 90.00°, 90.00° and 120.00°. The asymmetric unit holds Sc at (0.0000, 0.0000, 0.0000), Au at (0.0000, 0.0000, 0.2476), Se at (0.0000, 0.0000, 0.5493) and Se at (0.0000, 0.0000, 0.7246).

The uncorrected formation energy comes out at -3.176 eV/f.u. Its final energy is -4.94 eV/atom. As for the total moment: 0.000 μB/f.u.



Record 2
The following is a PBE calculation of HoH4Ru after structural relaxation, from the Alexandria database.

The structure belongs to space group C2/c (No. 15); the cell edges are 5.140, 8.969 and 5.617 Å and the angles 90.00°, 111.58° and 90.00°. The asymmetric unit holds Ho at (0.000, 0.134, 0.250), H at (0.000, 0.371, 0.533), H at (0.151, 0.076, 0.657) and Ru at (0.000, 0.451, 0.250).

For the energy above the lowest structure with this stoichiometry, the calculation gives 0 meV per atom. Its final energy is -4.94 eV/atom. As for the total moment: 0.000 μB/f.u.



Record 3
The following is a PBE calculation of CuBSe2 after structural relaxation, from the Alexandria database.

The structure belongs to space group P1 (No. 1); the cell edges are 4.171, 6.276 and 6.428 Å and the angles 70.01°, 73.63° and 81.64°. The asymmetric unit holds Cu at (0.000, 0.000, 0.000), Cu at (0.395, 0.974, 0.254), B at (0.571, 0.300, 0.603), B at (0.930, 0.430, 0.538), Se at (0.128, 0.403, 0.812), Se at (0.370, 0.338, 0.328), Se at (0.589, 0.961, 0.817) and Se at (0.871, 0.790, 0.411).

The uncorrected formation energy comes out at -0.123 eV/f.u. Its final energy is -4.47 eV/atom. As for the total moment: 0.000 μB/f.u.



Record 4
The following is a PBE calculation of Sc2Re3Mo after structural relaxation, from the Alexandria database.

The structure belongs to space group C2/m (No. 12); the cell edges are 9.161, 5.301 and 5.318 Å and the angles 90.00°, 125.14° and 90.00°. The asymmetric unit holds Sc at (0.124, 0.000, 0.373), Re at (0.000, 0.500, 0.000), Re at (0.250, 0.250, 0.000) and Mo at (0.000, 0.500, 0.500).

Its final energy is -10.40 eV/atom. As for the total moment: 0.016 μB/f.u. As for the formation energy: -1.55 eV per formula unit.



Record 5
The following is a PBE calculation of PmNi4Bi after structural relaxation, from the Alexandria database.

The structure belongs to space group F-43m (No. 216); the cell edges are 7.246, 7.246 and 7.246 Å and the angles 90.00°, 90.00° and 90.00°. The asymmetric unit holds Pm at (0.000, 0.000, 0.000), Ni at (0.125, 0.125, 0.375) and Bi at (0.250, 0.250, 0.750).

Its final energy is -5.48 eV/atom. As for the total moment: 0.229 μB/f.u. As for the formation energy: -1.13 eV per formula unit.



Record 6
The following is a PBE calculation of BePb2 after structural relaxation, from the Alexandria database.

The structure belongs to space group P-3m1 (No. 164); the cell edges are 4.0044, 4.0044 and 5.5017 Å and the angles 90.00°, 90.00° and 120.00°. The asymmetric unit holds Be at (0.0000, 0.0000, 0.0000) and Pb at (0.3333, 0.6667, 0.7558).

For the energy above the lowest structure with this stoichiometry, the calculation gives 125 meV per atom. Its final energy is -3.30 eV/atom. As for the total moment: 0.000 μB/f.u. As for the formation energy: 1.24 eV per formula unit.



Record 7
The following is a PBE calculation of AlZnF2 after structural relaxation, from the Alexandria database.

The structure belongs to space group R-3m (No. 166, hexagonal axes); the cell edges are 2.8652, 2.8652 and 22.1501 Å and the angles 90.00°, 90.00° and 120.00°. The asymmetric unit holds Al at (0.0000, 0.0000, 0.0000), Zn at (0.0000, 0.0000, 0.5000) and F at (0.0000, 0.0000, 0.0832).

The uncorrected formation energy comes out at -6.347 eV/f.u. For the energy above the lowest structure with this stoichiometry, the calculation gives 49 meV per atom. Its final energy is -3.78 eV/atom. As for the total moment: 0.000 μB/f.u.



Record 8
The following is a PBE calculation of ScCr3Ge after structural relaxation, from the Alexandria database.

The structure belongs to space group Pm-3m (No. 221); the cell edges are 4.658, 4.658 and 4.658 Å and the angles 90.00°, 90.00° and 90.00°. The asymmetric unit holds Sc at (0.000, 0.000, 0.000), Cr at (0.000, 0.000, 0.500) and Ge at (0.500, 0.500, 0.500).

For the energy above the lowest structure with this stoichiometry, the calculation gives 887 meV per atom. Its final energy is -6.25 eV/atom. As for the total moment: 10.118 μB/f.u. As for the formation energy: 8.57 eV per formula unit.